Entry 1:
# TcRhPb2

A PBEsol-optimized structure of TcRhPb2 (meta-GGA SCAN, Alexandria).

Unit cell a=3.2439 b=3.2439 c=24.7307 alpha=90.00 beta=90.00 gamma=120.00
Space group R-3m (No. 166, hexagonal axes)
Symmetry-distinct sites (fractional):
Tc1 0.0000 0.0000 0.0000 x3
Rh1 0.0000 0.0000 0.5000 x3
Pb1 0.0000 0.0000 0.2488 x6

## Properties
**Total DFT energy (no corrections)**: -54.586 eV/atom
**Calculated formation energy**: 2.05 eV per formula unit

Entry 2:
# Hg2MoPb

A PBEsol-optimized structure of Hg2MoPb (meta-GGA SCAN, Alexandria).

Unit cell a=2.9934 b=5.0862 c=5.3679 alpha=90.00 beta=90.00 gamma=90.00
Space group Pmm2 (No. 25)
Symmetry-distinct sites (fractional):
Hg1 0.0000 0.0000 0.0000 x1
Hg2 0.0000 0.5000 0.3245 x1
Mo1 0.5000 0.0000 0.4866 x1
Pb1 0.5000 0.5000 0.8035 x1

## Properties
**Total DFT energy (no corrections)**: -61.128 eV/atom
**Calculated formation energy**: 2.49 eV per formula unit

Entry 3:
# TlI3O9

A PBEsol-optimized structure of TlI3O9 (meta-GGA SCAN, Alexandria).

Unit cell a=9.7665 b=9.7665 c=14.3684 alpha=90.00 beta=90.00 gamma=120.00
Space group R-3 (No. 148, hexagonal axes)
Symmetry-distinct sites (fractional):
Tl1 0.0000 0.0000 0.1762 x6
I1 0.0034 0.7136 0.5825 x18
O1 0.0403 0.2770 0.5413 x18
O2 0.0431 0.8487 0.2776 x18
O3 0.0500 0.8388 0.9096 x18

## Properties
**Uncorrected formation energy**: -415 meV per atom
**Total DFT energy (no corrections)**: -18.774 eV/atom

Entry 4:
# CaRe2Te

A PBEsol-optimized structure of CaRe2Te (meta-GGA SCAN, Alexandria).

Unit cell a=3.2520 b=4.6782 c=9.8358 alpha=90.00 beta=90.00 gamma=90.00
Space group Cmmm (No. 65)
Symmetry-distinct sites (fractional):
Ca1 0.0000 0.0000 0.0000 x2
Re1 0.0000 0.5000 0.2526 x4
Te1 0.0000 0.0000 0.5000 x2

## Properties
**Uncorrected formation energy**: 1202 meV per atom
**Total DFT energy (no corrections)**: -46.076 eV/atom